VASP calculation (PBE-GGA) on an optimized crystal structure of MgBeF3.

Structure (POSCAR):
```
MgBeF3
1.0
3.715 0.000 0.000
0.000 3.715 0.000
0.000 0.000 3.715
Mg Be F
1 1 3
direct
0.000 0.000 0.000
0.500 0.500 0.500
0.000 0.500 0.500
0.500 0.000 0.500
0.500 0.500 0.000
```

**E_tot**: -4.455 eV/atom
**Crystal system**: cubic
**Uncorrected formation energy**: -2.268 eV per atom
**Density of states at the Fermi level**: 1.0 states/eV/cell
**E above lowest polymorph**: 0.000 eV/atom



VASP calculation (PBE-GGA) on an optimized crystal structure of MgBe3F.

Structure (POSCAR):
```
MgBe3F
1.0
3.924 0.000 0.000
0.000 3.924 0.000
0.000 0.000 3.924
Mg Be F
1 3 1
direct
0.000 0.000 0.000
0.000 0.500 0.500
0.500 0.000 0.500
0.500 0.500 0.000
0.500 0.500 0.500
```

**E_tot**: -2.702 eV/atom
**Crystal system**: cubic
**Uncorrected formation energy**: 0.227 eV per atom
**Density of states at the Fermi level**: 1.2 states/eV/cell
**E above lowest polymorph**: 0.000 eV/atom



VASP calculation (PBE-GGA) on an optimized crystal structure of MgBe2F.

Structure (POSCAR):
```
MgBe2F
1.0
5.645 0.000 0.000
0.000 5.645 0.000
0.000 0.000 6.903
Mg Be F
4 8 4
direct
0.000 0.000 0.000
0.000 0.500 0.250
0.500 0.000 0.750
0.500 0.500 0.500
0.127 0.250 0.625
0.250 0.627 0.875
0.250 0.873 0.375
0.373 0.250 0.125
0.627 0.750 0.125
0.750 0.127 0.375
0.750 0.373 0.875
0.873 0.750 0.625
0.000 0.000 0.500
0.000 0.500 0.750
0.500 0.000 0.250
0.500 0.500 0.000
```

**E_tot**: -2.845 eV/atom
**Crystal system**: tetragonal
**Uncorrected formation energy**: -0.116 eV per atom
**Density of states at the Fermi level**: 6.9 states/eV/cell
**E above lowest polymorph**: 0.000 eV/atom



VASP calculation (PBE-GGA) on an optimized crystal structure of MgBeNF2.

Structure (POSCAR):
```
MgBeNF2
1.0
3.275 0.000 0.000
0.000 3.275 0.000
0.000 0.000 4.433
Mg Be N F
1 1 1 2
direct
0.000 0.000 0.000
0.500 0.500 0.500
0.500 0.500 0.000
0.000 0.500 0.500
0.500 0.000 0.500
```

**E_tot**: -5.001 eV/atom
**Crystal system**: tetragonal
**Uncorrected formation energy**: -1.523 eV per atom
**Density of states at the Fermi level**: 2.0 states/eV/cell
**E above lowest polymorph**: 0.000 eV/atom



VASP calculation (PBE-GGA) on an optimized crystal structure of MgBe2NF.

Structure (POSCAR):
```
MgBe2NF
1.0
3.264 0.000 0.000
0.000 3.264 0.000
0.000 0.000 5.352
Mg Be N F
1 2 1 1
direct
0.000 0.000 0.000
0.000 0.500 0.500
0.500 0.000 0.500
0.500 0.500 0.000
0.000 0.000 0.500
```

**E_tot**: -3.595 eV/atom
**Crystal system**: tetragonal
**Uncorrected formation energy**: 0.254 eV per atom
**Density of states at the Fermi level**: 0.8 states/eV/cell
**E above lowest polymorph**: 1.164 eV/atom



VASP calculation (PBE-GGA) on an optimized crystal structure of MgBeNF2.

Structure (POSCAR):
```
MgBeNF2
1.0
3.590 0.000 0.000
0.000 3.590 0.000
0.000 0.000 4.788
Mg Be N F
1 1 1 2
direct
0.000 0.000 0.000
0.500 0.500 0.500
0.000 0.000 0.500
0.000 0.500 0.000
0.500 0.000 0.000
```

**E_tot**: -4.294 eV/atom
**Crystal system**: tetragonal
**Uncorrected formation energy**: -0.816 eV per atom
**Density of states at the Fermi level**: 0.9 states/eV/cell
**E above lowest polymorph**: 0.707 eV/atom